Record 1
# Al4CuCS2, optimized geometry, DFT GGA-PBE
# - electronic total energy (eV per atom) = -4.715
data_Al4CuCS2
_space_group_name_H-M_alt 'I -4'
_space_group_IT_number 82
_cell_length_a 4.944
_cell_length_b 4.944
_cell_length_c 11.822
_cell_angle_alpha 90.00
_cell_angle_beta 90.00
_cell_angle_gamma 90.00
loop_
_space_group_symop_operation_xyz
'x,y,z'
'y,-x,-z'
'-x,-y,z'
'-y,x,-z'
'x+1/2,y+1/2,z+1/2'
'y+1/2,-x+1/2,-z+1/2'
'-x+1/2,-y+1/2,z+1/2'
'-y+1/2,x+1/2,-z+1/2'
loop_
_atom_site_label
_atom_site_type_symbol
_atom_site_fract_x
_atom_site_fract_y
_atom_site_fract_z
Al1 Al 0.187 0.239 0.395
Cu1 Cu 0.000 0.500 0.250
C1 C 0.000 0.000 0.500
S1 S 0.000 0.000 0.000
S2 S 0.000 0.500 0.750

=====

Record 2
# La2NdSn3Pd3, optimized geometry, DFT GGA-PBE
# - electronic total energy (eV per atom) = -5.623
# - size of the total moment (μB/atom) = 0.0001
data_La2NdSn3Pd3
_space_group_name_H-M_alt 'A m m 2'
_space_group_IT_number 38
_cell_length_a 4.190
_cell_length_b 13.326
_cell_length_c 7.679
_cell_angle_alpha 90.00
_cell_angle_beta 90.00
_cell_angle_gamma 90.00
loop_
_space_group_symop_operation_xyz
'x,y,z'
'-x,-y,z'
'-x,y,z'
'x,-y,z'
'x,y+1/2,z+1/2'
'-x,-y+1/2,z+1/2'
'-x,y+1/2,z+1/2'
'x,-y+1/2,z+1/2'
loop_
_atom_site_label
_atom_site_type_symbol
_atom_site_fract_x
_atom_site_fract_y
_atom_site_fract_z
La1 La 0.000 0.207 0.000
Nd1 Nd 0.000 0.000 0.380
Sn1 Sn 0.500 0.000 0.043
Sn2 Sn 0.500 0.123 0.666
Pd1 Pd 0.000 0.000 0.791
Pd2 Pd 0.500 0.166 0.292